# Rb2NbFeO5 PBE with a Hubbard U relaxed
data_Rb2NbFeO5
_chemical_formula_sum 'Rb8 Nb4 Fe4 O20'
_symmetry_space_group_name_H-M 'C m c 21'
_symmetry_Int_Tables_number 36
_cell_length_a 3.262
_cell_length_b 15.522
_cell_length_c 12.959
_cell_angle_alpha 90.00
_cell_angle_beta 90.00
_cell_angle_gamma 90.00
loop_
_symmetry_equiv_pos_as_xyz
'x,y,z'
'-x,-y,z+1/2'
'-x,y,z'
'x,-y,z+1/2'
'x+1/2,y+1/2,z'
'-x+1/2,-y+1/2,z+1/2'
'-x+1/2,y+1/2,z'
'x+1/2,-y+1/2,z+1/2'
loop_
_atom_site_label
_atom_site_type_symbol
_atom_site_fract_x
_atom_site_fract_y
_atom_site_fract_z
_atom_site_occupancy
Rb1 Rb 0.000 0.072 0.000 1
Rb2 Rb 0.000 0.139 0.666 1
Nb1 Nb 0.000 0.215 0.380 1
Fe1 Fe 0.000 0.433 0.772 1
O1 O 0.000 0.071 0.357 1
O2 O 0.000 0.292 0.975 1
O3 O 0.000 0.305 0.772 1
O4 O 0.000 0.329 0.355 1
O5 O 0.000 0.492 0.654 1
# **Magnetization**: 0.555 μB/atom
# **Final energy**: -237.917 eV/cell
# **Mass density**: 4046 kg/m3